Computed, not measured: a relaxed structure of PrTlCd at the PBE-GGA level of DFT.

Computed properties:
- space group = No. 156
- ρ (Mg/m³) = 9.1
- E_tot (eV/atom) = -3.0134
- formation energy from the elements (meV/atom) = -326.5
- Fermi-level density of states (states/eV/atom) = 0.899

```
data_PrTlCd
_chemical_formula_sum 'Pr1 Tl1 Cd1'
_space_group_name_H-M_alt 'P 1'
_space_group_IT_number 1
_space_group_name_Hall 'P 1'
_cell_length_a 3.789
_cell_length_b 5.044
_cell_length_c 5.044
_cell_angle_alpha 120.00
_cell_angle_beta 90.00
_cell_angle_gamma 90.00
loop_
_atom_site_label
_atom_site_type_symbol
_atom_site_fract_x
_atom_site_fract_y
_atom_site_fract_z
Pr1 Pr 0.669 0.667 0.333
Tl1 Tl 0.152 0.000 0.000
Cd1 Cd 0.179 0.333 0.667
```